(1)
MgZr3Ir GGA-PBE optimized geometry; distance to the lowest polymorph of the same formula = 0.000 eV per atom; crystal system = cubic; formation energy from the elements = 0.147 eV/atom; symmetry = Pm-3m
1.0
5.101 0.000 0.000
0.000 5.101 0.000
0.000 0.000 5.101
Mg Zr Ir
1 3 1
direct
0.000 0.000 0.000 Mg
0.000 0.500 0.500 Zr
0.500 0.000 0.500 Zr
0.500 0.500 0.000 Zr
0.500 0.500 0.500 Ir

(2)
PmSm2ScBi4 GGA-PBE optimized geometry; crystal system = monoclinic; formation energy from the elements = -0.843 eV/atom; symmetry = P2/m
1.0
7.787 0.000 0.000
0.000 4.501 0.000
-2.601 0.000 7.343
Pm Sm Sc Bi
1 2 1 4
direct
0.000 0.000 0.000 Pm
0.000 0.500 0.500 Sm
0.500 0.000 0.500 Sm
0.500 0.500 0.000 Sc
0.257 0.500 0.244 Bi
0.263 0.000 0.763 Bi
0.737 0.000 0.237 Bi
0.743 0.500 0.756 Bi